Entry from Alexandria via LeMat-Bulk: a geometry-optimized Cs2CrBr6F structure (PBE+U).

```
Cs2CrBr6F
1.0
-3.7213 3.7213 5.9703
3.7213 -3.7213 5.9703
3.7213 3.7213 -5.9703
Cs Cr Br F
2 1 6 1
direct
0.2500 0.7500 0.5000
0.7500 0.2500 0.5000
0.0000 0.0000 0.0000
0.2116 0.2116 0.0000
0.2393 0.2393 0.4785
0.2393 0.7607 0.0000
0.7607 0.2393 0.0000
0.7607 0.7607 0.5215
0.7884 0.7884 0.0000
0.5000 0.5000 0.0000
```

spin magnetization: 1.00 μB/cell
VASP energy: -30.87 eV for the cell shown
mass density: 4.10 Mg/m³